# 1
The following is a PBE calculation of a relaxed structure of KGe2As2, from Alexandria.

Output
Size of the total moment = 0.00 μB per cell
Calculated formation energy = -0.122 eV per atom

Cell lengths 4.715, 4.715, 7.055 Å; angles 70.48, 70.48, 90.00 degrees
Atoms (fractional coordinates):
As: 0.347 0.347 0.306
K: 0.000 0.000 0.000
As: 0.653 0.653 0.694
Ge: 0.250 0.750 0.500
Ge: 0.750 0.250 0.500

# 2
The following is a PBE calculation of a relaxed structure of KGe2As2, from Alexandria.

Output
Size of the total moment = 0.00 μB per cell
Calculated formation energy = -0.085 eV per atom

Cell lengths 6.892, 6.892, 6.643 Å; angles 102.36, 102.36, 104.53 degrees
Atoms (fractional coordinates):
Ge: 0.222 0.460 0.510
As: 0.559 0.441 0.750
Ge: 0.460 0.222 0.010
Ge: 0.778 0.540 0.490
As: 0.798 0.202 0.250
K: 0.879 0.121 0.750
Ge: 0.540 0.778 0.990
As: 0.202 0.798 0.750
As: 0.441 0.559 0.250
K: 0.121 0.879 0.250

# 3
The following is a PBE calculation of a relaxed structure of K3GeAs2, from Alexandria.

Output
Offset from the most stable computed form = 0.000 eV/atom
Size of the total moment = 0.00 μB per cell
Calculated formation energy = -0.331 eV per atom

Cell lengths 8.150, 6.835, 9.005 Å; angles 112.30, 116.91, 90.00 degrees
Atoms (fractional coordinates):
K: 0.368 0.684 0.368
K: 0.500 0.250 0.000
Ge: 0.000 0.250 0.000
Ge: 0.000 0.750 0.000
As: 0.908 0.592 0.185
As: 0.092 0.408 0.815
K: 0.632 0.316 0.632
As: 0.723 0.908 0.815
As: 0.277 0.092 0.185
K: 0.000 0.184 0.368
K: 0.500 0.750 0.000
K: 0.000 0.816 0.632

# 4
The following is a PBE calculation of a relaxed structure of K3Ge2As4, from Alexandria.

Output
Size of the total moment = 0.00 μB per cell
Calculated formation energy = -0.276 eV per atom

Cell lengths 6.760, 9.341, 9.341 Å; angles 71.94, 90.53, 90.53 degrees
Atoms (fractional coordinates):
Ge: 0.053 0.598 0.829
As: 0.493 0.943 0.322
As: 0.993 0.322 0.943
Ge: 0.553 0.829 0.598
Ge: 0.947 0.402 0.171
K: 0.012 0.008 0.748
As: 0.007 0.678 0.057
As: 0.402 0.587 0.741
K: 0.512 0.748 0.008
As: 0.902 0.741 0.587
As: 0.098 0.259 0.413
K: 0.250 0.604 0.396
K: 0.988 0.992 0.252
K: 0.750 0.396 0.604
K: 0.488 0.252 0.992
As: 0.507 0.057 0.678
Ge: 0.447 0.171 0.402
As: 0.598 0.413 0.259

# 5
The following is a PBE calculation of a relaxed structure of K2GeAs2, from Alexandria.

Output
Offset from the most stable computed form = 0.104 eV/atom
Size of the total moment = 0.00 μB per cell
Calculated formation energy = -0.304 eV per atom

Cell lengths 6.533, 8.043, 10.951 Å; angles 127.74, 90.01, 113.97 degrees
Atoms (fractional coordinates):
K: 0.903 0.807 0.172
Ge: 0.365 0.730 0.832
As: 0.837 0.674 0.408
K: 0.097 0.193 0.828
As: 0.163 0.326 0.592
K: 0.679 0.358 0.538
As: 0.442 0.884 0.110
K: 0.321 0.642 0.462
As: 0.558 0.116 0.890
Ge: 0.635 0.270 0.168

# 6
The following is a PBE calculation of a relaxed structure of K3GeAs, from Alexandria.

Output
Offset from the most stable computed form = 0.465 eV/atom
Size of the total moment = 3.47 μB per cell
Calculated formation energy = 0.282 eV per atom

Cell lengths 6.344, 6.344, 6.344 Å; angles 90.00, 90.00, 90.00 degrees
Atoms (fractional coordinates):
K: 0.000 0.000 0.500
K: 0.500 0.000 0.000
Ge: 0.500 0.500 0.500
K: 0.000 0.500 0.000
As: 0.000 0.000 0.000

# 7
The following is a PBE calculation of a relaxed structure of KGe3As, from Alexandria.

Output
Offset from the most stable computed form = 0.000 eV/atom
Size of the total moment = 0.00 μB per cell
Calculated formation energy = 0.455 eV per atom

Cell lengths 5.232, 5.232, 5.232 Å; angles 90.00, 90.00, 90.00 degrees
Atoms (fractional coordinates):
K: 0.500 0.500 0.500
Ge: 0.500 0.000 0.000
Ge: 0.000 0.000 0.500
Ge: 0.000 0.500 0.000
As: 0.000 0.000 0.000

# 8
The following is a PBE calculation of a relaxed structure of KGeAs3, from Alexandria.

Output
Offset from the most stable computed form = 0.536 eV/atom
Size of the total moment = 0.00 μB per cell
Calculated formation energy = 0.361 eV per atom

Cell lengths 5.121, 5.121, 5.121 Å; angles 90.00, 90.00, 90.00 degrees
Atoms (fractional coordinates):
Ge: 0.000 0.000 0.000
As: 0.000 0.000 0.500
K: 0.500 0.500 0.500
As: 0.500 0.000 0.000
As: 0.000 0.500 0.000

# 9
The following is a PBE calculation of a relaxed structure of K3Ge2As2, from Alexandria.

Output
Size of the total moment = 0.00 μB per cell
Calculated formation energy = -0.278 eV per atom

Cell lengths 4.030, 5.420, 10.518 Å; angles 104.93, 101.04, 90.00 degrees
Atoms (fractional coordinates):
As: 0.858 0.358 0.716
K: 0.684 0.184 0.367
Ge: 0.564 0.564 0.128
Ge: 0.436 0.436 0.872
As: 0.142 0.642 0.284
K: 0.316 0.816 0.633
K: 0.000 0.000 0.000

# 10
The following is a PBE calculation of a relaxed structure of KGe2As2, from Alexandria.

Output
Size of the total moment = 0.00 μB per cell
Calculated formation energy = 0.050 eV per atom

Cell lengths 8.268, 8.268, 3.526 Å; angles 90.00, 90.00, 90.00 degrees
Atoms (fractional coordinates):
Ge: 0.381 0.881 0.000
K: 0.000 0.000 0.000
As: 0.357 0.143 0.500
Ge: 0.119 0.381 0.000
As: 0.143 0.643 0.500
Ge: 0.881 0.619 0.000
Ge: 0.619 0.119 0.000
As: 0.857 0.357 0.500
K: 0.500 0.500 0.000
As: 0.643 0.857 0.500

# 11
The following is a PBE calculation of a relaxed structure of K3GeAs, from Alexandria.

Output
Offset from the most stable computed form = 0.000 eV/atom
Size of the total moment = 0.00 μB per cell
Calculated formation energy = -0.183 eV per atom

Cell lengths 5.366, 8.287, 10.408 Å; angles 90.00, 90.00, 109.21 degrees
Atoms (fractional coordinates):
K: 0.840 0.176 0.560
K: 0.840 0.176 0.940
Ge: 0.626 0.757 0.250
K: 0.580 0.663 0.750
K: 0.420 0.337 0.250
Ge: 0.374 0.243 0.750
As: 0.220 0.940 0.750
K: 0.160 0.824 0.440
As: 0.780 0.060 0.250
K: 0.160 0.824 0.060

# 12
The following is a PBE calculation of a relaxed structure of KGe3As, from Alexandria.

Output
Offset from the most stable computed form = 1.249 eV/atom
Size of the total moment = 0.00 μB per cell
Calculated formation energy = 1.705 eV per atom

Cell lengths 5.432, 5.432, 5.432 Å; angles 90.00, 90.00, 90.00 degrees
Atoms (fractional coordinates):
Ge: 0.000 0.500 0.000
Ge: 0.500 0.000 0.000
As: 0.500 0.500 0.500
K: 0.000 0.000 0.000
Ge: 0.000 0.000 0.500

# 13
The following is a PBE calculation of a relaxed structure of KGe2As2, from Alexandria.

Output
Size of the total moment = 0.00 μB per cell
Calculated formation energy = -0.084 eV per atom

Cell lengths 4.980, 4.980, 6.045 Å; angles 65.67, 65.67, 90.00 degrees
Atoms (fractional coordinates):
K: 0.000 0.000 0.000
Ge: 0.644 0.644 0.712
As: 0.250 0.750 0.500
Ge: 0.356 0.356 0.288
As: 0.750 0.250 0.500

# 14
The following is a PBE calculation of a relaxed structure of K3GeAs2, from Alexandria.

Output
Offset from the most stable computed form = 0.173 eV/atom
Size of the total moment = 0.00 μB per cell
Calculated formation energy = -0.157 eV per atom

Cell lengths 7.518, 9.087, 9.340 Å; angles 119.11, 113.73, 90.00 degrees
Atoms (fractional coordinates):
K: 0.500 0.250 0.000
Ge: 0.000 0.500 0.000
K: 0.782 0.532 0.563
K: 0.218 0.468 0.437
As: 0.875 0.108 0.216
K: 0.218 0.968 0.437
Ge: 0.000 0.000 0.000
K: 0.500 0.750 0.000
As: 0.125 0.892 0.784
As: 0.660 0.392 0.784
K: 0.782 0.032 0.563
As: 0.340 0.608 0.216

# 15
The following is a PBE calculation of a relaxed structure of KGe2As2, from Alexandria.

Output
Size of the total moment = 0.00 μB per cell
Calculated formation energy = 0.064 eV per atom

Cell lengths 8.249, 8.249, 3.569 Å; angles 90.00, 90.00, 90.00 degrees
Atoms (fractional coordinates):
As: 0.875 0.625 0.000
Ge: 0.133 0.633 0.500
Ge: 0.633 0.867 0.500
As: 0.375 0.875 0.000
Ge: 0.367 0.133 0.500
As: 0.125 0.375 0.000
As: 0.625 0.125 0.000
Ge: 0.867 0.367 0.500
K: 0.000 0.000 0.000
K: 0.500 0.500 0.000

# 16
The following is a PBE calculation of a relaxed structure of KGeAs3, from Alexandria.

Output
Offset from the most stable computed form = 0.000 eV/atom
Size of the total moment = 0.00 μB per cell
Calculated formation energy = -0.175 eV per atom

Cell lengths 5.460, 8.618, 6.931 Å; angles 95.54, 90.00, 90.00 degrees
Atoms (fractional coordinates):
Ge: 0.062 0.662 0.733
K: 0.070 0.081 0.200
As: 0.262 0.467 0.192
K: 0.570 0.272 0.702
As: 0.589 0.923 0.395
As: 0.762 0.886 0.709
As: 0.089 0.429 0.507
As: 0.896 0.522 0.004
Ge: 0.561 0.691 0.168
As: 0.396 0.831 0.897

# 17
The following is a PBE calculation of a relaxed structure of KGe2As, from Alexandria.

Output
Size of the total moment = 0.00 μB per cell
Calculated formation energy = 0.073 eV per atom

Cell lengths 5.022, 5.022, 9.994 Å; angles 75.45, 75.45, 90.00 degrees
Atoms (fractional coordinates):
K: 0.500 0.500 0.000
K: 0.250 0.750 0.500
Ge: 0.805 0.125 0.250
Ge: 0.945 0.625 0.250
As: 0.000 0.000 0.000
Ge: 0.875 0.055 0.750
Ge: 0.375 0.195 0.750
As: 0.750 0.250 0.500

# 18
The following is a PBE calculation of a relaxed structure of KGeAs3, from Alexandria.

Output
Offset from the most stable computed form = 1.791 eV/atom
Size of the total moment = 0.00 μB per cell
Calculated formation energy = 1.616 eV per atom

Cell lengths 5.356, 5.356, 5.356 Å; angles 90.00, 90.00, 90.00 degrees
Atoms (fractional coordinates):
K: 0.000 0.000 0.000
As: 0.000 0.500 0.000
Ge: 0.500 0.500 0.500
As: 0.500 0.000 0.000
As: 0.000 0.000 0.500

# 19
The following is a PBE calculation of a relaxed structure of K3GeAs3, from Alexandria.

Output
Size of the total moment = 0.00 μB per cell
Calculated formation energy = -0.176 eV per atom

Cell lengths 6.588, 6.588, 6.588 Å; angles 108.88, 108.88, 108.88 degrees
Atoms (fractional coordinates):
As: 0.026 0.026 0.639
K: 0.530 0.530 0.123
K: 0.123 0.530 0.530
K: 0.530 0.123 0.530
As: 0.639 0.026 0.026
Ge: 0.926 0.926 0.926
As: 0.026 0.639 0.026

# 20
The following is a PBE calculation of a relaxed structure of K2GeAs2, from Alexandria.

Output
Offset from the most stable computed form = 0.184 eV/atom
Size of the total moment = 0.00 μB per cell
Calculated formation energy = -0.225 eV per atom

Cell lengths 7.228, 7.228, 5.341 Å; angles 90.00, 90.00, 90.00 degrees
Atoms (fractional coordinates):
K: 0.679 0.821 0.500
K: 0.321 0.179 0.500
K: 0.821 0.321 0.500
Ge: 0.500 0.500 0.000
As: 0.621 0.121 0.000
Ge: 0.000 0.000 0.000
As: 0.879 0.621 0.000
K: 0.179 0.679 0.500
As: 0.121 0.379 0.000
As: 0.379 0.879 0.000